Entry 1:
First-principles (PBE-GGA) data for an optimized crystal structure of BaLi, as listed in the Alexandria database.

Results
Polymorph energy (0 for the lowest one) ... 149 meV per atom
Electronic total energy ... -0.0635 hartree per atom
Size of the total moment ... 0.00 μB/f.u.
Formation energy ... 0.192 eV/atom

Cell: 7.2572 7.2572 7.0938 Å, 90.00 90.00 90.00°
Last column: nearest neighbours and their distance in Å.
Fractional coordinates of all 8 atoms:
Li 0.1571 0.8429 0.0000  1 Li 3.22, 4 Ba 3.53-3.57
Li 0.8429 0.1571 0.0000  1 Li 3.22, 4 Ba 3.53-3.57
Ba 0.1939 0.8061 0.5000  4 Li 3.53-3.57
Ba 0.8061 0.1939 0.5000  4 Li 3.53-3.57
Ba 0.3061 0.3061 0.0000  4 Li 3.53-3.57
Li 0.6571 0.6571 0.5000  1 Li 3.22, 4 Ba 3.53-3.57
Li 0.3429 0.3429 0.5000  1 Li 3.22, 4 Ba 3.53-3.57
Ba 0.6939 0.6939 0.0000  4 Li 3.53-3.57


Entry 2:
First-principles (PBE-GGA) data for an optimized crystal structure of Ba2Li, as listed in the Alexandria database.

Results
Polymorph energy (0 for the lowest one) ... 133 meV per atom
Electronic total energy ... -0.0645 hartree per atom
Size of the total moment ... 0.00 μB/f.u.
Formation energy ... 0.164 eV/atom

Cell: 6.1574 6.1574 4.1962 Å, 90.00 90.00 90.00°
Last column: nearest neighbours and their distance in Å.
Fractional coordinates of all 3 atoms:
Ba 0.0000 0.5000 0.5000  4 Li 3.73
Ba 0.5000 0.0000 0.5000  4 Li 3.73
Li 0.0000 0.0000 0.0000  8 Ba 3.73


Entry 3:
First-principles (PBE-GGA) data for an optimized crystal structure of Ba3Li, as listed in the Alexandria database.

Results
Electronic total energy ... -0.0663 hartree per atom
Size of the total moment ... 0.00 μB/f.u.
Formation energy ... 0.117 eV/atom

Cell: 5.8360 5.8360 7.6508 Å, 112.42 112.42 90.00°
Last column: nearest neighbours and their distance in Å.
Fractional coordinates of all 4 atoms:
Ba 0.5000 0.5000 0.0000  4 Li 4.13, 8 Ba 4.35
Li 0.0000 0.0000 0.0000  12 Ba 4.13-4.35
Ba 0.7500 0.2500 0.5000  8 Ba 4.13-4.35, 4 Li 4.35
Ba 0.2500 0.7500 0.5000  8 Ba 4.13-4.35, 4 Li 4.35


Entry 4:
First-principles (PBE-GGA) data for an optimized crystal structure of BaLi, as listed in the Alexandria database.

Results
Polymorph energy (0 for the lowest one) ... 128 meV per atom
Electronic total energy ... -0.0642 hartree per atom
Size of the total moment ... 0.00 μB/f.u.
Formation energy ... 0.171 eV/atom

Cell: 4.2644 4.2644 5.7030 Å, 90.00 90.00 120.00°
Last column: nearest neighbours and their distance in Å.
Fractional coordinates of all 2 atoms:
Li 0.3333 0.6667 0.5000  6 Ba 3.77
Ba 0.0000 0.0000 0.0000  6 Li 3.77


Entry 5:
First-principles (PBE-GGA) data for an optimized crystal structure of BaLi2, as listed in the Alexandria database.

Results
Electronic total energy ... -0.0687 hartree per atom
Size of the total moment ... 0.00 μB/f.u.
Formation energy ... 0.048 eV/atom

Cell: 4.0542 4.0542 6.8451 Å, 107.23 107.23 90.00°
Last column: nearest neighbours and their distance in Å.
Fractional coordinates of all 3 atoms:
Ba 0.0000 0.0000 0.0000  10 Li 3.68-3.83, 4 Ba 4.05
Li 0.2961 0.2961 0.5923  4 Li 3.09
Li 0.7039 0.7039 0.4077  4 Li 3.09


Entry 6:
First-principles (PBE-GGA) data for an optimized crystal structure of BaLi, as listed in the Alexandria database.

Results
Polymorph energy (0 for the lowest one) ... 409 meV per atom
Electronic total energy ... -0.0539 hartree per atom
Size of the total moment ... 0.00 μB/f.u.
Formation energy ... 0.452 eV/atom

Cell: 6.2174 6.2174 7.3508 Å, 90.00 90.00 120.00°
Last column: nearest neighbours and their distance in Å.
Fractional coordinates of all 4 atoms:
Ba 0.6667 0.3333 0.2500  5 Li 3.59-3.68
Ba 0.3333 0.6667 0.7500  5 Li 3.59-3.68
Li 0.6667 0.3333 0.7500  5 Ba 3.59-3.68
Li 0.3333 0.6667 0.2500  5 Ba 3.59-3.68


Entry 7:
First-principles (PBE-GGA) data for an optimized crystal structure of BaLi, as listed in the Alexandria database.

Results
Polymorph energy (0 for the lowest one) ... 85 meV per atom
Electronic total energy ... -0.0658 hartree per atom
Size of the total moment ... 0.00 μB/f.u.
Formation energy ... 0.128 eV/atom

Cell: 7.1829 7.1829 7.1829 Å, 136.59 136.59 63.06°
Last column: nearest neighbours and their distance in Å.
Fractional coordinates of all 4 atoms:
Ba 0.0000 0.0000 0.0000  8 Li 3.76-4.05, 4 Ba 4.05
Li 0.7500 0.2500 0.5000  8 Ba 3.76-4.05, 4 Li 4.05
Li 0.5000 0.5000 0.0000  8 Ba 3.76-4.05, 4 Li 4.05
Ba 0.2500 0.7500 0.5000  8 Li 3.76-4.05, 4 Ba 4.05


Entry 8:
First-principles (PBE-GGA) data for an optimized crystal structure of BaLi5, as listed in the Alexandria database.

Results
Polymorph energy (0 for the lowest one) ... 51 meV per atom
Electronic total energy ... -0.0674 hartree per atom
Size of the total moment ... 0.00 μB/f.u.
Formation energy ... 0.080 eV/atom

Cell: 9.2746 9.2746 4.3181 Å, 90.00 90.00 152.23°
Last column: nearest neighbours and their distance in Å.
Fractional coordinates of all 6 atoms:
Li 0.3974 0.6026 0.5000  4 Li 2.87-2.91
Li 0.1773 0.8227 0.5000  8 Li 2.99-3.10
Li 0.7933 0.2067 0.5000  10 Li 2.91-3.10
Li 0.2921 0.7079 0.0000  10 Li 2.87-3.11
Li 0.6717 0.3283 0.0000  8 Li 3.07-3.11
Ba 0.0015 0.9985 0.0000  8 Li 3.62-3.83